Material: RePt2Au
Method: DFT, PBE-GGA
State: relaxed

abc: 4.8152 4.8152 4.9978
angles: 98.56 98.56 33.70
Last column: nearest neighbours and their distance in Å.
Fractional positions:
Re 0.0000 0.0000 0.0000  6 Pt 2.74-2.80, 2 Re 2.79, 4 Au 2.86
Pt 0.2569 0.2569 0.7648  3 Re 2.74-2.80, 6 Pt 2.75-2.98, 3 Au 2.77-2.89
Pt 0.7431 0.7431 0.2352  3 Re 2.74-2.80, 6 Pt 2.75-2.98, 3 Au 2.77-2.89
Au 0.5000 0.5000 0.5000  6 Pt 2.77-2.89, 2 Au 2.79, 4 Re 2.86

Values from the calculation:
SG: No. 12
Energy (eV per cell): -27.3
ΔH_f (0 K) (eV/atom): 0.123



Material: RePtAu
Method: DFT, PBE-GGA
State: relaxed

abc: 2.8148 2.8148 12.2033
angles: 90.00 90.00 90.00
Last column: nearest neighbours and their distance in Å.
Fractional positions:
Re 0.2500 0.2500 0.0761  8 Re 2.72-2.81, 4 Pt 2.75
Re 0.7500 0.7500 0.9239  8 Re 2.72-2.81, 4 Pt 2.75
Pt 0.2500 0.2500 0.7678  4 Re 2.75, 4 Pt 2.81, 4 Au 2.94
Pt 0.7500 0.7500 0.2322  4 Re 2.75, 4 Pt 2.81, 4 Au 2.94
Au 0.2500 0.2500 0.4093  8 Au 2.81-2.98, 4 Pt 2.94
Au 0.7500 0.7500 0.5907  8 Au 2.81-2.98, 4 Pt 2.94

Values from the calculation:
SG: No. 129
Energy (eV per cell): -43.8
ΔH_f (0 K) (eV/atom): -0.044



Among the records above, which one has the highest energy?
RePt2Au